VASP calculation (PBE) on Rb2Pd after structural relaxation.

Summary:
space-group type	Fd-3m
calculated total energy	-2.08	eV per atom

a b c (Å): 10.0239 10.0239 10.0239
angles (deg): 60.00 60.00 60.00
With the nearest neighbours (Å) after each atom.
Fractional positions:
Pd (0.2500, 0.2500, 0.2500)  4 Rb 3.07
Pd (0.5000, 0.5000, 0.5000)  4 Rb 3.07
Rb (0.8750, 0.3750, 0.3750)  2 Pd 3.07
Rb (0.3750, 0.3750, 0.8750)  2 Pd 3.07
Rb (0.3750, 0.8750, 0.3750)  2 Pd 3.07
Rb (0.3750, 0.3750, 0.3750)  2 Pd 3.07

***

VASP calculation (PBE) on PmAl4Co after structural relaxation.

Summary:
space-group type	Pmma
calculated total energy	-4.99	eV per atom

a b c (Å): 7.6609 4.0172 6.8370
angles (deg): 90.00 90.00 90.00
With the nearest neighbours (Å) after each atom.
Fractional positions:
Co (0.7500, 0.0000, 0.3137)  8 Al 2.30-2.56
Co (0.2500, 0.0000, 0.6863)  8 Al 2.30-2.56
Al (0.5696, 0.5000, 0.1984)  2 Co 2.56, 2 Al 2.73-2.76
Al (0.0000, 0.0000, 0.5000)  2 Co 2.30
Al (0.9304, 0.5000, 0.1984)  2 Co 2.56, 2 Al 2.73-2.76
Al (0.5000, 0.0000, 0.5000)  2 Co 2.30
Al (0.4304, 0.5000, 0.8016)  2 Co 2.56, 2 Al 2.73-2.76
Al (0.7500, 0.5000, 0.5425)  2 Co 2.55, 6 Al 2.73-2.79
Al (0.0696, 0.5000, 0.8016)  2 Co 2.56, 2 Al 2.73-2.76
Al (0.2500, 0.5000, 0.4575)  2 Co 2.55, 6 Al 2.73-2.79
Pm (0.2500, 0.0000, 0.1162)  1 Co 2.94, 12 Al 3.08-3.25
Pm (0.7500, 0.0000, 0.8838)  1 Co 2.94, 12 Al 3.08-3.25